Compound: MgTi3V5O16
Source: the Alexandria database
Functional: PBE with a Hubbard U
Structure: relaxed

POSCAR file:
```
MgTi3V5O16
1.0
5.9121 -0.0007 0.0125
-2.9393 -5.1707 -0.0069
-0.1055 0.0147 -9.3747
Ti V O Mg
3 5 16 1
direct
0.1826 0.8732 0.2772
0.8123 0.6510 0.7948
0.3162 0.1379 0.7839
0.6573 0.3290 0.5010
0.6623 0.8232 0.2898
0.3306 0.6583 0.0163
0.1345 0.3417 0.2731
0.8353 0.1611 0.7916
0.3178 0.6674 0.3960
0.3219 0.1778 0.3875
0.4648 0.5235 0.1609
0.5051 0.4685 0.6579
0.0321 0.5203 0.1579
0.9862 0.0014 0.1797
0.1476 0.3202 0.8860
0.9874 0.9859 0.6831
0.6494 0.8183 0.8858
0.4688 0.9534 0.1649
0.8184 0.6705 0.3883
0.1584 0.8188 0.8869
0.8171 0.1674 0.3869
0.9463 0.4700 0.6587
0.6510 0.3212 0.8900
0.5102 0.0277 0.6595
0.3171 0.6541 0.6052
```

Properties
The excess energy over the best structure of this formula in the dataset is 0.000 eV per atom. As for the crystal system: triclinic. The total DFT energy (no corrections) comes out at -201.81 eV/cell. As for the space-group type: No. 1.